12
Lattice="3.996 0.000 0.000 0.000 8.281 0.233 -1.998 -2.451 8.587" Properties=species:S:1:pos:R:3 comment="Y6PbSe2S3 PBE-GGA optimized geometry" energy_ev_per_atom=-6.8118 e_form_raw_kcal_per_mol_atoms=-38.237 n_ef_per_ev_fu=5.252 space_group="No. 12" pbc="T T T"
Y 0.000 6.117 5.809
Y 1.998 4.126 2.916
Y 1.998 -0.287 3.011
Y 1.998 -0.177 8.585
Y 0.000 6.007 0.234
Y 0.000 1.705 5.904
Pb 1.998 0.000 0.000
Se 1.998 3.881 5.834
Se 0.000 1.949 2.986
S 1.998 4.140 0.116
S 1.998 -0.207 5.775
S 0.000 6.037 3.044

=====

4
Lattice="-0.017 1.479 4.908 -1.760 4.644 1.272 -4.438 0.455 2.525" Properties=species:S:1:pos:R:3 comment="SiPb2S PBE-GGA optimized geometry" polymorph_energy_kj_per_mol_fu=10.5 energy_ev_per_atom=-3.9510 e_form_raw_kcal_per_mol_atoms=6.705 n_ef_per_ev_fu=2.555 space_group="No. 225" pbc="T T T"
Pb -1.554 1.644 2.176
Pb -4.661 4.933 6.529
S -3.108 3.289 4.353
Si 0.000 0.000 0.000